No. 1
Density functional theory data (meta-GGA SCAN) for NbCuSn3 at its PBEsol-relaxed geometry.

Unit cell a=4.9101 b=4.9101 c=4.9101 alpha=90.00 beta=90.00 gamma=90.00
Last column: nearest neighbours and their distance in Å.
Fractional positions:
Nb (0.0000, 0.0000, 0.0000)  12 Sn 3.47
Cu (0.5000, 0.5000, 0.5000)  6 Sn 2.46
Sn (0.0000, 0.5000, 0.5000)  2 Cu 2.46
Sn (0.5000, 0.0000, 0.5000)  2 Cu 2.46
Sn (0.5000, 0.5000, 0.0000)  2 Cu 2.46

Summary:
mass density = 7.190 g cm⁻³
energy = -30.411 eV per atom
total magnetic moment = 3.2 μB/cell
Fermi-level density of states = 4.04 states/eV/cell

=====

No. 2
Density functional theory data (meta-GGA SCAN) for LaNb2Fe2 at its PBEsol-relaxed geometry.

Unit cell a=5.9458 b=5.9458 c=5.9458 alpha=137.86 beta=137.86 gamma=61.11
Last column: nearest neighbours and their distance in Å.
Fractional positions:
La (0.0000, 0.0000, 0.0000)  8 Fe 3.34, 10 Nb 3.36-3.65
Nb (0.3560, 0.3560, 0.0000)  4 Fe 2.40
Nb (0.6440, 0.6440, 0.0000)  4 Fe 2.40
Fe (0.2500, 0.7500, 0.5000)  4 Nb 2.40
Fe (0.7500, 0.2500, 0.5000)  4 Nb 2.40

Summary:
mass density = 7.745 g cm⁻³
energy = -28.723 eV per atom
total magnetic moment = 1.1 μB/cell
Fermi-level density of states = 4.93 states/eV/cell

=====

No. 3
Density functional theory data (meta-GGA SCAN) for TcAuS2 at its PBEsol-relaxed geometry.

Unit cell a=7.9405 b=7.9405 c=7.9405 alpha=23.49 beta=23.49 gamma=23.49
Last column: nearest neighbours and their distance in Å.
Fractional positions:
Tc (0.0000, 0.0000, 0.0000)  2 S 2.19
Au (0.5000, 0.5000, 0.5000)  6 S 2.51
S (0.0944, 0.0944, 0.0944)  1 Tc 2.19
S (0.9056, 0.9056, 0.9056)  1 Tc 2.19

Summary:
uncorrected formation energy = 587 meV/atom
mass density = 8.540 g cm⁻³
energy = -30.281 eV per atom
ΔE to the lowest computed polymorph = 649 meV/atom
total magnetic moment = 0.0 μB/cell
Fermi-level density of states = 3.37 states/eV/cell

=====

No. 4
Density functional theory data (meta-GGA SCAN) for CoMoOs3 at its PBEsol-relaxed geometry.

Unit cell a=4.2973 b=4.2973 c=4.2973 alpha=90.00 beta=90.00 gamma=90.00
Last column: nearest neighbours and their distance in Å.
Fractional positions:
Co (0.0000, 0.0000, 0.0000)  6 Os 2.15
Mo (0.5000, 0.5000, 0.5000)  12 Os 3.04
Os (0.0000, 0.0000, 0.5000)  2 Co 2.15
Os (0.0000, 0.5000, 0.0000)  2 Co 2.15
Os (0.5000, 0.0000, 0.0000)  2 Co 2.15

Summary:
mass density = 15.182 g cm⁻³
energy = -51.657 eV per atom
total magnetic moment = 0.0 μB/cell
Fermi-level density of states = 6.63 states/eV/cell

=====

No. 5
Density functional theory data (meta-GGA SCAN) for LaPbCl2 at its PBEsol-relaxed geometry.

Unit cell a=3.4248 b=3.4248 c=10.3891 alpha=90.00 beta=90.00 gamma=90.00
Last column: nearest neighbours and their distance in Å.
Fractional positions:
La (0.0000, 0.0000, 0.0000)  8 Cl 2.92
Pb (0.0000, 0.0000, 0.5000)  4 Pb 3.42
Cl (0.5000, 0.5000, 0.1568)  4 La 2.92, 1 Cl 3.26
Cl (0.5000, 0.5000, 0.8432)  4 La 2.92, 1 Cl 3.26

Summary:
uncorrected formation energy = -1521 meV/atom
mass density = 5.683 g cm⁻³
energy = -35.231 eV per atom
ΔE to the lowest computed polymorph = 46 meV/atom
total magnetic moment = 0.0 μB/cell
Fermi-level density of states = 1.89 states/eV/cell

=====

No. 6
Density functional theory data (meta-GGA SCAN) for MgTa4W at its PBEsol-relaxed geometry.

Unit cell a=5.3771 b=5.3771 c=5.3771 alpha=60.00 beta=60.00 gamma=60.00
Last column: nearest neighbours and their distance in Å.
Fractional positions:
Mg (0.0000, 0.0000, 0.0000)  12 Ta 3.15, 4 W 3.29
Ta (0.1277, 0.6241, 0.6241)  6 Ta 2.67-2.71
Ta (0.6241, 0.1277, 0.6241)  6 Ta 2.67-2.71
Ta (0.6241, 0.6241, 0.1277)  6 Ta 2.67-2.71
Ta (0.6241, 0.6241, 0.6241)  6 Ta 2.67-2.71
W (0.2500, 0.2500, 0.2500)  12 Ta 3.15, 4 Mg 3.29

Summary:
mass density = 14.077 g cm⁻³
energy = -56.342 eV per atom
total magnetic moment = 0.0 μB/cell
Fermi-level density of states = 7.84 states/eV/cell

=====

No. 7
Density functional theory data (meta-GGA SCAN) for Mg2AlAg at its PBEsol-relaxed geometry.

Unit cell a=5.1326 b=5.1326 c=5.1326 alpha=132.02 beta=132.02 gamma=70.20
Last column: nearest neighbours and their distance in Å.
Fractional positions:
Mg (0.2500, 0.7500, 0.5000)  4 Mg 2.95, 4 Ag 2.96, 4 Al 2.96
Mg (0.7500, 0.2500, 0.5000)  4 Mg 2.95, 4 Ag 2.96, 4 Al 2.96
Al (0.0000, 0.0000, 0.0000)  4 Ag 2.95, 8 Mg 2.96
Ag (0.5000, 0.5000, 0.0000)  4 Al 2.95, 8 Mg 2.96

Summary:
mass density = 4.165 g cm⁻³
energy = -12.368 eV per atom
total magnetic moment = 0.0 μB/cell
Fermi-level density of states = 1.22 states/eV/cell

=====

No. 8
Density functional theory data (meta-GGA SCAN) for LaNiHg at its PBEsol-relaxed geometry.

Unit cell a=4.4985 b=4.4985 c=3.8133 alpha=90.00 beta=90.00 gamma=120.00
Last column: nearest neighbours and their distance in Å.
Fractional positions:
La (0.0000, 0.0000, 0.0000)  6 Hg 3.22, 6 Ni 3.22
Ni (0.3333, 0.6667, 0.5000)  3 Hg 2.60
Hg (0.6667, 0.3333, 0.5000)  3 Ni 2.60

Summary:
mass density = 9.894 g cm⁻³
energy = -42.888 eV per atom
total magnetic moment = 0.0 μB/cell
Fermi-level density of states = 2.46 states/eV/cell

=====

No. 9
Density functional theory data (meta-GGA SCAN) for K2AgPb at its PBEsol-relaxed geometry.

Unit cell a=4.8041 b=4.9919 c=6.6961 alpha=90.00 beta=110.93 gamma=90.00
Last column: nearest neighbours and their distance in Å.
Fractional positions:
K (0.0000, 0.0000, 0.0000)  3 Ag 3.44-3.79, 4 Pb 3.69
K (0.3061, 0.5000, 0.6146)  3 Pb 3.52-3.69, 4 Ag 3.73
Ag (0.6959, 0.0000, 0.3942)  2 Pb 2.76
Pb (0.6020, 0.5000, 0.2040)  2 Ag 2.76

Summary:
mass density = 4.354 g cm⁻³
energy = -31.072 eV per atom
total magnetic moment = 0.0 μB/cell
Fermi-level density of states = 1.63 states/eV/cell

=====

No. 10
Density functional theory data (meta-GGA SCAN) for Zn2AgPt at its PBEsol-relaxed geometry.

Unit cell a=4.9876 b=4.9876 c=4.5011 alpha=108.66 beta=108.66 gamma=33.20
Last column: nearest neighbours and their distance in Å.
Fractional positions:
Zn (0.0000, 0.0000, 0.0000)  3 Ag 2.65-2.68, 4 Pt 2.66-2.67, 4 Zn 2.72-2.85
Zn (0.7385, 0.7385, 0.3623)  3 Pt 2.62-2.69, 4 Ag 2.64-2.69, 4 Zn 2.72-2.85
Ag (0.2496, 0.2496, 0.8640)  7 Zn 2.64-2.69, 2 Ag 2.85, 3 Pt 2.93
Pt (0.4817, 0.4817, 0.4859)  7 Zn 2.62-2.69, 2 Pt 2.85, 3 Ag 2.93

Summary:
mass density = 12.462 g cm⁻³
energy = -32.451 eV per atom
total magnetic moment = 0.0 μB/cell
Fermi-level density of states = 1.10 states/eV/cell

=====

No. 11
Density functional theory data (meta-GGA SCAN) for Ba3LiTa at its PBEsol-relaxed geometry.

Unit cell a=6.0979 b=6.0979 c=6.0979 alpha=90.00 beta=90.00 gamma=90.00
Last column: nearest neighbours and their distance in Å.
Fractional positions:
Ba (0.0000, 0.0000, 0.5000)  2 Ta 3.05
Ba (0.0000, 0.5000, 0.0000)  2 Ta 3.05
Ba (0.5000, 0.0000, 0.0000)  2 Ta 3.05
Li (0.5000, 0.5000, 0.5000)  12 Ba 4.31
Ta (0.0000, 0.0000, 0.0000)  6 Ba 3.05

Summary:
mass density = 4.393 g cm⁻³
energy = -36.661 eV per atom
total magnetic moment = 1.3 μB/cell
Fermi-level density of states = 4.25 states/eV/cell

=====

No. 12
Density functional theory data (meta-GGA SCAN) for Dy5Co19P12 at its PBEsol-relaxed geometry.

Unit cell a=11.8349 b=11.8349 c=3.6194 alpha=90.00 beta=90.00 gamma=120.00
Last column: nearest neighbours and their distance in Å.
Fractional positions:
Dy (0.0000, 0.1873, 0.0000)  6 P 2.81-2.83, 10 Co 2.86-3.05
Dy (0.1873, 0.0000, 0.0000)  6 P 2.81-2.83, 10 Co 2.86-3.05
Dy (0.3333, 0.6667, 0.5000)  6 P 2.78, 9 Co 2.95-2.96
Dy (0.6667, 0.3333, 0.5000)  6 P 2.78, 9 Co 2.95-2.96
Dy (0.8127, 0.8127, 0.0000)  6 P 2.81-2.83, 10 Co 2.86-3.05
Co (0.0000, 0.0000, 0.5000)  3 P 2.14
Co (0.0000, 0.5534, 0.5000)  1 P 2.19
Co (0.0000, 0.7150, 0.0000)  4 P 2.15-2.19
Co (0.1250, 0.4835, 0.0000)  4 P 2.19-2.30
Co (0.1783, 0.8005, 0.5000)  4 P 2.22-2.31
Co (0.1995, 0.3778, 0.5000)  4 P 2.22-2.31
Co (0.2850, 0.2850, 0.0000)  4 P 2.15-2.19
Co (0.3585, 0.8750, 0.0000)  4 P 2.19-2.30
Co (0.3778, 0.1995, 0.5000)  4 P 2.22-2.31
Co (0.4466, 0.4466, 0.5000)  1 P 2.19
Co (0.4835, 0.1250, 0.0000)  4 P 2.19-2.30
Co (0.5165, 0.6415, 0.0000)  4 P 2.19-2.30
Co (0.5534, 0.0000, 0.5000)  1 P 2.19
Co (0.6222, 0.8217, 0.5000)  4 P 2.22-2.31
Co (0.6415, 0.5165, 0.0000)  4 P 2.19-2.30
Co (0.7150, 0.0000, 0.0000)  4 P 2.15-2.19
Co (0.8005, 0.1783, 0.5000)  4 P 2.22-2.31
Co (0.8217, 0.6222, 0.5000)  4 P 2.22-2.31
Co (0.8750, 0.3585, 0.0000)  4 P 2.19-2.30
P (0.0000, 0.3688, 0.5000)  7 Co 2.19-2.31
P (0.0000, 0.8190, 0.5000)  5 Co 2.14-2.23
P (0.1654, 0.6854, 0.0000)  5 Co 2.15-2.26
P (0.1810, 0.1810, 0.5000)  5 Co 2.14-2.23
P (0.3146, 0.4799, 0.0000)  5 Co 2.15-2.26
P (0.3688, 0.0000, 0.5000)  7 Co 2.19-2.31
P (0.4799, 0.3146, 0.0000)  5 Co 2.15-2.26
P (0.5201, 0.8346, 0.0000)  5 Co 2.15-2.26
P (0.6312, 0.6312, 0.5000)  7 Co 2.19-2.31
P (0.6854, 0.1654, 0.0000)  5 Co 2.15-2.26
P (0.8190, 0.0000, 0.5000)  5 Co 2.14-2.23
P (0.8346, 0.5201, 0.0000)  5 Co 2.15-2.26

Summary:
mass density = 8.714 g cm⁻³
energy = -20.086 eV per atom
total magnetic moment = 9.0 μB/cell
Fermi-level density of states = 9.70 states/eV/cell

=====

No. 13
Density functional theory data (meta-GGA SCAN) for Co2HgH2 at its PBEsol-relaxed geometry.

Unit cell a=5.4629 b=5.4629 c=5.4629 alpha=148.17 beta=148.17 gamma=45.64
Last column: nearest neighbours and their distance in Å.
Fractional positions:
Co (0.1743, 0.1743, 0.0000)  4 H 1.68
Co (0.8257, 0.8257, 0.0000)  4 H 1.68
Hg (0.5000, 0.5000, 0.0000)  8 Co 2.75, 8 H 2.93, 4 Hg 3.00
H (0.2500, 0.7500, 0.5000)  4 Co 1.68
H (0.7500, 0.2500, 0.5000)  4 Co 1.68

Summary:
mass density = 11.772 g cm⁻³
energy = -21.658 eV per atom
ΔE to the lowest computed polymorph = 0 meV/atom
total magnetic moment = 2.3 μB/cell
Fermi-level density of states = 2.66 states/eV/cell